# Pr8Nd6In

An optimized crystal structure of Pr8Nd6In (PBE, Alexandria via LeMat-Bulk).

Cell lengths 6.7361, 9.5388, 9.5388 Å; angles 120.00, 90.00, 90.00 degrees
Closest atoms and distances in Å follow each position.
Fractional positions:
Nd: 0.3342 0.0927 0.4433  1 Nd 3.35, 4 Pr 3.40-3.70
Nd: 0.3342 0.5567 0.6494  1 Nd 3.35, 4 Pr 3.40-3.70
Nd: 0.3342 0.3506 0.9073  1 Nd 3.35, 4 Pr 3.40-3.70
Nd: 0.6658 0.6494 0.0927  1 Nd 3.35, 4 Pr 3.40-3.70
Nd: 0.6658 0.4433 0.3506  1 Nd 3.35, 4 Pr 3.40-3.70
Nd: 0.6658 0.9073 0.5567  1 Nd 3.35, 4 Pr 3.40-3.70
Pr: 0.8203 0.7305 0.7716  1 In 3.23, 2 Nd 3.40-3.59, 3 Pr 3.41-3.42
Pr: 0.1797 0.7716 0.0411  1 In 3.23, 2 Nd 3.40-3.59, 3 Pr 3.41-3.42
Pr: 0.1797 0.2695 0.2284  1 In 3.23, 2 Nd 3.40-3.59, 3 Pr 3.41-3.42
Pr: 0.1797 0.9589 0.7305  1 In 3.23, 2 Nd 3.40-3.59, 3 Pr 3.41-3.42
Pr: 0.1313 0.6667 0.3333  3 Pr 3.42
Pr: 0.8203 0.0411 0.2695  1 In 3.23, 2 Nd 3.40-3.59, 3 Pr 3.41-3.42
Pr: 0.8687 0.3333 0.6667  3 Pr 3.42
Pr: 0.8203 0.2284 0.9589  1 In 3.23, 2 Nd 3.40-3.59, 3 Pr 3.41-3.42
In: 0.5000 0.0000 0.0000  6 Pr 3.23

For the theoretical density, the calculation gives 6.6 g/cm³. The value obtained for the formation enthalpy at 0 K is 0.05 eV per atom. As for the total magnetic moment: 0.00 μB per formula unit. The space group is P-3 (147). The total energy comes out at -68.8 eV/f.u.

# Pr3Nd6In

An optimized crystal structure of Pr3Nd6In (PBE, Alexandria via LeMat-Bulk).

Cell lengths 6.4282, 11.3844, 11.3844 Å; angles 123.30, 90.00, 90.00 degrees
Closest atoms and distances in Å follow each position.
Fractional positions:
Nd: 0.6529 0.2925 0.7075  2 In 3.33-3.47, 4 Nd 3.38-3.48, 1 Pr 3.43
Nd: 0.0489 0.7123 0.6361  3 Pr 3.37-3.77, 5 Nd 3.52-3.77
Nd: 0.9078 0.0588 0.9412  6 Nd 3.66-3.99, 6 Pr 3.88-4.07, 1 In 3.93
Nd: 0.5489 0.2877 0.3639  3 Pr 3.37-3.77, 5 Nd 3.52-3.77
Nd: 0.0489 0.3639 0.2877  3 Pr 3.37-3.77, 5 Nd 3.52-3.77
Nd: 0.1529 0.7075 0.2925  2 In 3.33-3.47, 4 Nd 3.38-3.48, 1 Pr 3.43
Nd: 0.3789 0.5682 0.9637  2 In 3.22-3.45, 3 Nd 3.38-3.52, 1 Pr 3.43
Nd: 0.5489 0.6361 0.7123  3 Pr 3.37-3.77, 5 Nd 3.52-3.77
Nd: 0.8789 0.9637 0.5682  2 In 3.22-3.45, 3 Nd 3.38-3.52, 1 Pr 3.43
Nd: 0.4078 0.9412 0.0588  6 Nd 3.66-3.99, 6 Pr 3.88-4.07, 1 In 3.93
Nd: 0.3789 0.0363 0.4318  2 In 3.22-3.45, 3 Nd 3.38-3.52, 1 Pr 3.43
Nd: 0.8789 0.4318 0.0363  2 In 3.22-3.45, 3 Nd 3.38-3.52, 1 Pr 3.43
In: 0.1643 0.2369 0.7631  3 Pr 3.21-3.31, 6 Nd 3.22-3.47
In: 0.6643 0.7631 0.2369  3 Pr 3.21-3.31, 6 Nd 3.22-3.47
Pr: 0.4126 0.2896 0.0432  1 In 3.31, 2 Nd 3.37-3.43, 1 Pr 3.60
Pr: 0.0797 0.3949 0.6051  1 In 3.21, 3 Nd 3.43-3.44
Pr: 0.5797 0.6051 0.3949  1 In 3.21, 3 Nd 3.43-3.44
Pr: 0.9126 0.0432 0.2896  1 In 3.31, 2 Nd 3.37-3.43, 1 Pr 3.60
Pr: 0.9126 0.7104 0.9568  1 In 3.31, 2 Nd 3.37-3.43, 1 Pr 3.60
Pr: 0.4126 0.9568 0.7104  1 In 3.31, 2 Nd 3.37-3.43, 1 Pr 3.60

For the theoretical density, the calculation gives 6.7 g/cm³. The value obtained for the formation enthalpy at 0 K is -0.01 eV per atom. As for the total magnetic moment: 0.00 μB per formula unit. The space group is Cmc2_1 (36). The total energy comes out at -45.8 eV/f.u. Its energy above the most stable polymorph in this dataset is 3 meV per atom.